(1)
# LiV2F7

A geometry-optimized LiV2F7 structure (PBEsol, Alexandria).

Results
The value obtained for the volume is 11.5 Å³/atom. As for the energy: -6.2806 eV/atom. The value obtained for the raw formation energy is -2.81 eV/atom. As for the crystal system: monoclinic. The distance to the lowest polymorph of the same formula comes out at 42.6 meV/atom.

Cell lengths 7.5205, 7.5205, 5.1152 Å; angles 105.34, 105.34, 56.62 degrees
Closest atoms and distances in Å follow each position.
Positions (direct):
Li1 0.0106 0.9894 0.7500  4 F 1.86-1.92
Li2 0.9894 0.0106 0.2500  4 F 1.86-1.92
V1 0.1563 0.5106 0.2656  6 F 1.90-1.99
V2 0.4894 0.8437 0.2344  6 F 1.90-1.99
V3 0.5106 0.1563 0.7656  6 F 1.90-1.99
V4 0.8437 0.4894 0.7344  6 F 1.90-1.99
F1 0.0000 0.5000 0.5000  2 V 1.93
F2 0.0800 0.3085 0.9975  2 V 1.97-1.99
F3 0.1295 0.7761 0.4574  2 Li 1.86-1.92, 1 V 1.90
F4 0.2239 0.8705 0.0426  2 Li 1.86-1.92, 1 V 1.90
F5 0.3085 0.0800 0.4975  2 V 1.97-1.99
F6 0.3480 0.4171 0.0111  2 V 1.91-1.95
F7 0.4171 0.3480 0.5111  2 V 1.91-1.95
F8 0.5000 0.0000 0.0000  2 V 1.93
F9 0.5829 0.6520 0.4889  2 V 1.91-1.95
F10 0.6520 0.5829 0.9889  2 V 1.91-1.95
F11 0.6915 0.9200 0.5025  2 V 1.97-1.99
F12 0.7761 0.1295 0.9574  2 Li 1.86-1.92, 1 V 1.90
F13 0.8705 0.2239 0.5426  2 Li 1.86-1.92, 1 V 1.90
F14 0.9200 0.6915 0.0025  2 V 1.97-1.99

***

(2)
# Li2VF4

A geometry-optimized Li2VF4 structure (PBEsol, Alexandria).

Results
The value obtained for the volume is 10.6 Å³/atom. As for the energy: -5.7409 eV/atom. The value obtained for the raw formation energy is -2.70 eV/atom. As for the crystal system: orthorhombic. The distance to the lowest polymorph of the same formula comes out at 0.0 meV/atom.

Cell lengths 5.9303, 5.9303, 5.9303 Å; angles 121.24, 118.15, 90.55 degrees
Closest atoms and distances in Å follow each position.
Positions (direct):
Li1 0.0000 0.0000 0.5000  6 F 2.03-2.05
Li2 0.0000 0.5000 0.0000  6 F 2.03-2.05
Li3 0.3862 0.1362 0.2500  4 F 1.91
Li4 0.6138 0.8638 0.7500  4 F 1.91
V1 0.0000 0.5000 0.5000  6 F 2.04-2.07
V2 0.5000 0.5000 0.0000  6 F 2.04-2.07
F1 0.2265 0.7446 0.4819  3 Li 1.91-2.03, 1 V 2.04
F2 0.2373 0.2554 0.9819  3 Li 1.91-2.03, 1 V 2.04
F3 0.2461 0.2566 0.5105  2 Li 1.91-2.05, 2 V 2.07
F4 0.2461 0.7355 0.9895  2 Li 1.91-2.05, 2 V 2.07
F5 0.7539 0.2645 0.0105  2 Li 1.91-2.05, 2 V 2.07
F6 0.7539 0.7434 0.4895  2 Li 1.91-2.05, 2 V 2.07
F7 0.7627 0.7446 0.0181  3 Li 1.91-2.03, 1 V 2.04
F8 0.7735 0.2554 0.5181  3 Li 1.91-2.03, 1 V 2.04

***

(3)
# Li3VF7

A geometry-optimized Li3VF7 structure (PBEsol, Alexandria).

Results
The value obtained for the volume is 12.8 Å³/atom. As for the energy: -5.5227 eV/atom. The value obtained for the raw formation energy is -2.88 eV/atom. As for the crystal system: trigonal.

Cell lengths 5.6665, 5.6665, 5.6665 Å; angles 64.17, 64.17, 64.17 degrees
Closest atoms and distances in Å follow each position.
Positions (direct):
Li1 0.1722 0.1722 0.6555  4 F 1.74-1.92
Li2 0.1722 0.6555 0.1722  4 F 1.74-1.92
Li3 0.6555 0.1722 0.1722  4 F 1.74-1.92
V1 0.5504 0.5504 0.5504  6 F 1.81-1.91
F1 0.2986 0.2986 0.2986  3 Li 1.74
F2 0.3312 0.3312 0.7631  1 V 1.81, 1 Li 1.91
F3 0.3312 0.7631 0.3312  1 V 1.81, 1 Li 1.91
F4 0.3350 0.7821 0.7821  1 V 1.91, 2 Li 1.92
F5 0.7631 0.3312 0.3312  1 V 1.81, 1 Li 1.91
F6 0.7821 0.3350 0.7821  1 V 1.91, 2 Li 1.92
F7 0.7821 0.7821 0.3350  1 V 1.91, 2 Li 1.92

***

(4)
# Li3V2F12

A geometry-optimized Li3V2F12 structure (PBEsol, Alexandria).

Results
The value obtained for the volume is 11.6 Å³/atom. As for the energy: -5.7259 eV/atom. The value obtained for the raw formation energy is -2.88 eV/atom. As for the crystal system: monoclinic.

Cell lengths 4.8415, 8.6557, 9.4048 Å; angles 90.00, 90.14, 90.00 degrees
Closest atoms and distances in Å follow each position.
Positions (direct):
Li1 0.0000 0.1403 0.0000  6 F 1.93-2.14
Li2 0.0000 0.8597 0.5000  6 F 1.93-2.14
Li3 0.0258 0.2063 0.6975  4 F 1.86-2.03
Li4 0.0258 0.7937 0.1975  4 F 1.86-2.03
Li5 0.4965 0.3604 0.2133  6 F 1.94-2.14
Li6 0.4965 0.6396 0.7133  6 F 1.94-2.14
V1 0.0026 0.4921 0.9612  6 F 1.78-1.86
V2 0.0026 0.5079 0.4612  6 F 1.78-1.86
V3 0.5019 0.0078 0.2402  6 F 1.77-1.86
V4 0.5019 0.9922 0.7402  6 F 1.77-1.86
F1 0.1467 0.3565 0.5699  1 V 1.80, 1 Li 1.86
F2 0.1467 0.6435 0.0699  1 V 1.80, 1 Li 1.86
F3 0.1795 0.3452 0.0730  1 V 1.86, 1 Li 2.03
F4 0.1795 0.6548 0.5730  1 V 1.86, 1 Li 2.03
F5 0.2044 0.0057 0.6148  1 V 1.86, 1 Li 1.93
F6 0.2044 0.9943 0.1148  1 V 1.86, 1 Li 1.93
F7 0.2926 0.5000 0.3435  1 V 1.79, 1 Li 1.99
F8 0.2926 0.5000 0.8435  1 V 1.79, 1 Li 1.99
F9 0.3032 0.1329 0.8441  1 V 1.84, 1 Li 2.03
F10 0.3032 0.8671 0.3441  1 V 1.84, 1 Li 2.03
F11 0.3476 0.1683 0.3258  1 V 1.77
F12 0.3476 0.8317 0.8258  1 V 1.77
F13 0.6670 0.1408 0.6368  1 V 1.80, 1 Li 1.91
F14 0.6670 0.8592 0.1368  1 V 1.80, 1 Li 1.91
F15 0.6773 0.1543 0.1288  1 V 1.85, 1 Li 1.98
F16 0.6773 0.8457 0.6288  1 V 1.85, 1 Li 1.98
F17 0.7108 0.4799 0.0780  1 V 1.79, 1 Li 1.94
F18 0.7108 0.5201 0.5780  1 V 1.79, 1 Li 1.94
F19 0.7862 0.0048 0.8637  1 V 1.80
F20 0.7862 0.9952 0.3637  1 V 1.80
F21 0.8169 0.3773 0.3499  1 V 1.78
F22 0.8169 0.6227 0.8499  1 V 1.78
F23 0.8740 0.3232 0.8610  1 V 1.85, 1 Li 1.98
F24 0.8740 0.6768 0.3610  1 V 1.85, 1 Li 1.98

***

(5)
# LiVF3

A geometry-optimized LiVF3 structure (PBEsol, Alexandria).

Results
The value obtained for the volume is 10.7 Å³/atom. As for the energy: -6.0833 eV/atom. The value obtained for the raw formation energy is -2.61 eV/atom. As for the crystal system: trigonal. The distance to the lowest polymorph of the same formula comes out at 0.0 meV/atom.

Cell lengths 5.5255, 5.5255, 5.5255 Å; angles 55.46, 55.46, 55.46 degrees
Closest atoms and distances in Å follow each position.
Positions (direct):
Li1 0.0000 0.0000 0.0000  3 F 1.91
Li2 0.5000 0.5000 0.5000  3 F 1.91
V1 0.2062 0.2062 0.2062  6 F 2.06
V2 0.7062 0.7062 0.7062  6 F 2.06
F1 0.1171 0.4235 0.8002  1 Li 1.91, 2 V 2.06
F2 0.3002 0.9235 0.6171  1 Li 1.91, 2 V 2.06
F3 0.4235 0.8002 0.1171  1 Li 1.91, 2 V 2.06
F4 0.6171 0.3002 0.9235  1 Li 1.91, 2 V 2.06
F5 0.8002 0.1171 0.4235  1 Li 1.91, 2 V 2.06
F6 0.9235 0.6171 0.3002  1 Li 1.91, 2 V 2.06

***

(6)
# LiVF3

A geometry-optimized LiVF3 structure (PBEsol, Alexandria).

Results
The value obtained for the volume is 10.7 Å³/atom. As for the energy: -6.0376 eV/atom. The value obtained for the raw formation energy is -2.56 eV/atom. As for the crystal system: cubic. The distance to the lowest polymorph of the same formula comes out at 45.6 meV/atom.

Cell lengths 5.9894, 5.9894, 5.9894 Å; angles 90.00, 90.00, 90.00 degrees
Closest atoms and distances in Å follow each position.
Positions (direct):
Li1 0.0834 0.0834 0.0834  6 F 2.04-2.08
Li2 0.4166 0.9166 0.5834  6 F 2.04-2.08
Li3 0.5834 0.4166 0.9166  6 F 2.04-2.08
Li4 0.9166 0.5834 0.4166  6 F 2.04-2.08
V1 0.1522 0.6522 0.8478  6 F 2.05-2.08
V2 0.3478 0.3478 0.3478  6 F 2.05-2.08
V3 0.6522 0.8478 0.1522  6 F 2.05-2.08
V4 0.8478 0.1522 0.6522  6 F 2.05-2.08
F1 0.0153 0.2528 0.3709  2 Li 2.04-2.08, 2 V 2.05-2.08
F2 0.1291 0.9847 0.7528  2 Li 2.04-2.08, 2 V 2.05-2.08
F3 0.2472 0.6291 0.5153  2 Li 2.04-2.08, 2 V 2.05-2.08
F4 0.2528 0.3709 0.0153  2 Li 2.04-2.08, 2 V 2.05-2.08
F5 0.3709 0.0153 0.2528  2 Li 2.04-2.08, 2 V 2.05-2.08
F6 0.4847 0.7472 0.8709  2 Li 2.04-2.08, 2 V 2.05-2.08
F7 0.5153 0.2472 0.6291  2 Li 2.04-2.08, 2 V 2.05-2.08
F8 0.6291 0.5153 0.2472  2 Li 2.04-2.08, 2 V 2.05-2.08
F9 0.7472 0.8709 0.4847  2 Li 2.04-2.08, 2 V 2.05-2.08
F10 0.7528 0.1291 0.9847  2 Li 2.04-2.08, 2 V 2.05-2.08
F11 0.8709 0.4847 0.7472  2 Li 2.04-2.08, 2 V 2.05-2.08
F12 0.9847 0.7528 0.1291  2 Li 2.04-2.08, 2 V 2.05-2.08